Crystalline Rb3Cd2Au3 at its relaxed geometry. Source: Alexandria, functional GGA-PBE.

Computed properties:
* theoretical density: 6.478 g/cm³
* crystal system: orthorhombic
* formation enthalpy at 0 K: -248.6 meV per atom
* ΔE to the lowest computed polymorph: 0.0 meV/atom
* symmetry: Pnma (62)

Structure (extended XYZ):
```
32
Lattice="9.620 0.000 0.000 0.000 16.527 0.000 0.000 0.000 6.914" Properties=species:S:1:pos:R:3 pbc="T T T"
Rb 0.489 1.755 0.845
Rb 0.489 6.509 0.845
Rb 2.004 4.132 4.009
Rb 2.806 12.396 0.552
Rb 4.322 10.019 4.302
Rb 4.322 14.772 4.302
Rb 5.299 1.755 2.612
Rb 5.299 6.509 2.612
Rb 6.814 4.132 6.362
Rb 7.616 12.396 2.905
Rb 9.132 10.019 6.069
Rb 9.132 14.772 6.069
Cd 0.982 9.720 2.776
Cd 0.982 15.071 2.776
Cd 3.828 1.456 6.233
Cd 3.828 6.807 6.233
Cd 5.792 9.720 0.681
Cd 5.792 15.071 0.681
Cd 8.639 1.456 4.138
Cd 8.639 6.807 4.138
Au 1.360 12.396 3.841
Au 1.754 0.746 4.475
Au 1.754 7.518 4.475
Au 3.056 9.010 1.018
Au 3.056 15.782 1.018
Au 3.450 4.132 0.384
Au 6.170 12.396 6.530
Au 6.564 0.746 5.896
Au 6.564 7.518 5.896
Au 7.866 9.010 2.439
Au 7.866 15.782 2.439
Au 8.260 4.132 3.073
```


Crystalline Rb2Cd15Au2 at its relaxed geometry. Source: Alexandria, functional GGA-PBE.

Computed properties:
* theoretical density: 7.854 g/cm³
* crystal system: trigonal
* formation enthalpy at 0 K: -48.4 meV per atom
* symmetry: R-3m (166)

Structure (extended XYZ):
```
19
Lattice="5.221 3.014 5.040 -5.221 3.014 5.040 0.000 -6.029 5.040" Properties=species:S:1:pos:R:3 pbc="T T T"
Rb 0.000 0.000 2.377
Rb 0.000 0.000 12.742
Cd -2.611 -1.507 5.040
Cd 0.000 -2.949 4.774
Cd -2.554 1.474 4.774
Cd -1.499 -2.596 7.559
Cd -2.998 0.000 7.559
Cd -2.554 -1.474 10.345
Cd -2.611 1.507 10.079
Cd 1.499 -2.596 7.559
Cd 0.000 3.014 5.040
Cd -1.499 2.596 7.559
Cd 2.554 1.474 4.774
Cd 2.998 0.000 7.559
Cd 1.499 2.596 7.559
Cd 2.554 -1.474 10.345
Cd 0.000 2.949 10.345
Au 0.000 0.000 5.999
Au 0.000 0.000 9.120
```


Crystalline Rb3CdAu4 at its relaxed geometry. Source: Alexandria, functional GGA-PBE.

Computed properties:
* theoretical density: 7.361 g/cm³
* crystal system: orthorhombic
* formation enthalpy at 0 K: -228.0 meV per atom
* ΔE to the lowest computed polymorph: 0.0 meV/atom
* symmetry: Imm2 (44)

Structure (extended XYZ):
```
8
Lattice="-3.522 3.846 4.815 3.522 -3.846 4.815 3.522 3.846 -4.815" Properties=species:S:1:pos:R:3 pbc="T T T"
Rb 0.000 0.000 0.000
Rb 3.522 1.955 -1.353
Rb 0.000 1.891 3.463
Cd 3.522 0.000 4.573
Au 3.522 -1.404 2.119
Au 3.522 1.404 2.119
Au 2.155 3.846 1.430
Au 1.367 0.000 6.245
```


Crystalline Rb2Cd9Au4 at its relaxed geometry. Source: Alexandria, functional GGA-PBE.

Computed properties:
* theoretical density: 7.948 g/cm³
* crystal system: trigonal
* formation enthalpy at 0 K: -147.1 meV per atom
* symmetry: P-3m1 (164)

Structure (extended XYZ):
```
15
Lattice="4.820 0.000 0.000 -2.410 4.175 0.000 0.000 0.000 20.459" Properties=species:S:1:pos:R:3 pbc="T T T"
Rb 0.000 2.783 5.467
Rb 2.410 1.391 14.991
Cd 0.000 0.000 0.000
Cd 0.000 0.000 2.994
Cd 0.000 0.000 8.127
Cd 0.000 0.000 12.332
Cd 0.000 0.000 17.465
Cd 0.000 2.783 1.390
Cd 0.000 2.783 9.268
Cd 2.410 1.391 11.191
Cd 2.410 1.391 19.069
Au 0.000 2.783 12.152
Au 0.000 2.783 18.067
Au 2.410 1.391 2.392
Au 2.410 1.391 8.307
```


Crystalline Rb5CdAu at its relaxed geometry. Source: Alexandria, functional GGA-PBE.

Computed properties:
* theoretical density: 2.892 g/cm³
* crystal system: monoclinic
* formation enthalpy at 0 K: -69.8 meV per atom
* symmetry: C2/c (15)

Structure (extended XYZ):
```
14
Lattice="5.702 -6.083 0.000 5.702 6.083 0.000 -1.515 0.000 12.198" Properties=species:S:1:pos:R:3 pbc="T T T"
Rb 3.614 3.416 4.360
Rb 4.566 4.360 9.148
Rb 1.911 0.860 12.061
Rb 7.032 3.416 1.739
Rb 2.669 -0.860 5.962
Rb 7.220 0.860 6.236
Rb 2.857 -3.416 10.459
Rb 7.978 -0.860 0.137
Rb 5.323 -4.360 3.049
Rb 6.275 -3.416 7.838
Cd 4.566 0.303 9.148
Cd 5.323 -0.303 3.049
Au 0.000 0.000 0.000
Au -0.757 0.000 6.099
```


Crystalline RbCd2Au at its relaxed geometry. Source: Alexandria, functional GGA-PBE.

Computed properties:
* theoretical density: 6.361 g/cm³
* crystal system: trigonal
* formation enthalpy at 0 K: -195.8 meV per atom
* ΔE to the lowest computed polymorph: 8.3 meV/atom
* symmetry: R-3m (166)

Structure (extended XYZ):
```
4
Lattice="2.439 1.408 6.427 -2.439 1.408 6.427 0.000 -2.816 6.427" Properties=species:S:1:pos:R:3 pbc="T T T"
Rb 0.000 0.000 0.000
Cd 0.000 0.000 3.770
Cd 0.000 0.000 15.510
Au 0.000 0.000 9.640
```


Crystalline RbCdAu2 at its relaxed geometry. Source: Alexandria, functional GGA-PBE.

Computed properties:
* theoretical density: 9.249 g/cm³
* crystal system: tetragonal
* formation enthalpy at 0 K: -120.6 meV per atom
* symmetry: P4/mmm (123)

Structure (extended XYZ):
```
4
Lattice="3.693 0.000 0.000 0.000 3.693 0.000 0.000 0.000 7.791" Properties=species:S:1:pos:R:3 pbc="T T T"
Rb 0.000 0.000 0.000
Cd 0.000 0.000 3.896
Au 1.846 1.846 2.469
Au 1.846 1.846 5.322
```


Crystalline RbCd2Au at its relaxed geometry. Source: Alexandria, functional GGA-PBE.

Computed properties:
* theoretical density: 6.664 g/cm³
* crystal system: tetragonal
* formation enthalpy at 0 K: -139.2 meV per atom
* ΔE to the lowest computed polymorph: 64.9 meV/atom
* symmetry: P4/nmm (129)

Structure (extended XYZ):
```
8
Lattice="4.788 0.000 0.000 0.000 4.788 0.000 0.000 0.000 11.026" Properties=species:S:1:pos:R:3 pbc="T T T"
Rb 1.197 1.197 2.625
Rb 3.591 3.591 8.400
Cd 1.197 1.197 10.067
Cd 1.197 3.591 5.513
Cd 3.591 1.197 5.513
Cd 3.591 3.591 0.958
Au 1.197 1.197 7.171
Au 3.591 3.591 3.854
```


Crystalline RbCd6Au4 at its relaxed geometry. Source: Alexandria, functional GGA-PBE.

Computed properties:
* theoretical density: 9.813 g/cm³
* crystal system: hexagonal
* formation enthalpy at 0 K: -194.5 meV per atom
* symmetry: P-6m2 (187)

Structure (extended XYZ):
```
11
Lattice="8.121 0.000 0.000 -4.060 7.033 0.000 0.000 0.000 4.586" Properties=species:S:1:pos:R:3 pbc="T T T"
Rb 0.000 0.000 0.000
Cd 0.000 2.825 2.293
Cd -1.614 5.620 2.293
Cd 4.060 0.491 0.000
Cd 2.455 3.271 0.000
Cd 1.614 5.620 2.293
Cd 5.665 3.271 0.000
Au 0.000 4.688 0.000
Au 2.515 1.452 2.293
Au 5.605 1.452 2.293
Au 4.060 4.128 2.293
```


Crystalline RbCdAu2 at its relaxed geometry. Source: Alexandria, functional GGA-PBE.

Computed properties:
* theoretical density: 7.771 g/cm³
* crystal system: trigonal
* formation enthalpy at 0 K: -266.6 meV per atom
* symmetry: R-3m (166)

Structure (extended XYZ):
```
4
Lattice="2.447 1.413 6.099 -2.447 1.413 6.099 0.000 -2.825 6.099" Properties=species:S:1:pos:R:3 pbc="T T T"
Rb 0.000 0.000 0.000
Cd 0.000 0.000 9.149
Au 0.000 0.000 3.360
Au 0.000 0.000 14.937
```


Crystalline Rb3CdAu4 at its relaxed geometry. Source: Alexandria, functional GGA-PBE.

Computed properties:
* theoretical density: 6.901 g/cm³
* crystal system: orthorhombic
* formation enthalpy at 0 K: -208.8 meV per atom
* ΔE to the lowest computed polymorph: 19.2 meV/atom
* symmetry: Imm2 (44)

Structure (extended XYZ):
```
8
Lattice="-3.453 4.424 4.555 3.453 -4.424 4.555 3.453 4.424 -4.555" Properties=species:S:1:pos:R:3 pbc="T T T"
Rb 0.000 0.000 0.000
Rb 3.453 2.136 1.423
Rb 0.000 2.287 5.979
Cd 0.000 4.424 0.815
Au 3.453 2.157 -2.035
Au 2.043 4.424 -1.029
Au 1.410 0.000 3.526
Au 0.000 2.267 2.520
```


Crystalline Rb3Cd4Au at its relaxed geometry. Source: Alexandria, functional GGA-PBE.

Computed properties:
* theoretical density: 5.225 g/cm³
* crystal system: orthorhombic
* formation enthalpy at 0 K: -115.0 meV per atom
* symmetry: Imm2 (44)

Structure (extended XYZ):
```
8
Lattice="-3.211 3.848 5.806 3.211 -3.848 5.806 3.211 3.848 -5.806" Properties=species:S:1:pos:R:3 pbc="T T T"
Rb 0.000 0.000 0.000
Rb 3.211 2.013 1.752
Rb 0.000 1.835 7.557
Cd 3.211 1.471 -2.049
Cd 1.540 3.848 -1.177
Cd 1.671 0.000 4.629
Cd 0.000 2.377 3.757
Au 0.000 3.848 1.272
```


Crystalline Rb5CdAu4 at its relaxed geometry. Source: Alexandria, functional GGA-PBE.

Computed properties:
* theoretical density: 5.778 g/cm³
* crystal system: tetragonal
* formation enthalpy at 0 K: -221.4 meV per atom
* ΔE to the lowest computed polymorph: 0.0 meV/atom
* symmetry: P4/mmm (123)

Structure (extended XYZ):
```
10
Lattice="4.223 0.000 0.000 0.000 4.223 0.000 0.000 0.000 21.392" Properties=species:S:1:pos:R:3 pbc="T T T"
Rb 0.000 0.000 0.000
Rb 0.000 0.000 4.125
Rb 0.000 0.000 8.186
Rb 0.000 0.000 13.206
Rb 0.000 0.000 17.268
Cd 2.112 2.112 10.696
Au 2.112 2.112 2.097
Au 2.112 2.112 6.317
Au 2.112 2.112 15.076
Au 2.112 2.112 19.295
```


Crystalline Rb5Cd4Au at its relaxed geometry. Source: Alexandria, functional GGA-PBE.

Computed properties:
* theoretical density: 3.679 g/cm³
* crystal system: monoclinic
* formation enthalpy at 0 K: -88.9 meV per atom
* symmetry: C2/m (12)

Structure (extended XYZ):
```
10
Lattice="11.479 -2.454 0.000 11.479 2.454 0.000 -3.534 0.000 8.605" Properties=species:S:1:pos:R:3 pbc="T T T"
Rb 0.000 0.000 0.000
Rb 4.426 0.000 6.109
Rb 7.510 0.000 1.926
Rb 11.915 0.000 6.679
Rb 14.999 0.000 2.496
Cd 1.095 0.000 3.824
Cd 8.470 0.000 5.417
Cd 10.955 0.000 3.188
Cd 18.330 0.000 4.781
Au -1.767 0.000 4.303
```


Crystalline RbCd12Au6 at its relaxed geometry. Source: Alexandria, functional GGA-PBE.

Computed properties:
* theoretical density: 9.533 g/cm³
* crystal system: trigonal
* formation enthalpy at 0 K: -160.1 meV per atom
* symmetry: R-3m (166)

Structure (extended XYZ):
```
19
Lattice="6.343 3.662 3.269 -6.343 3.662 3.269 0.000 -7.325 3.269" Properties=species:S:1:pos:R:3 pbc="T T T"
Rb 0.000 0.000 0.000
Cd -2.440 -4.226 4.904
Cd -4.879 0.000 4.904
Cd -1.658 -0.957 3.152
Cd 1.658 -0.957 3.152
Cd 0.000 1.915 3.152
Cd 2.440 -4.226 4.904
Cd -2.440 4.226 4.904
Cd 0.000 -1.915 6.656
Cd -1.658 0.957 6.656
Cd 1.658 0.957 6.656
Cd 4.879 0.000 4.904
Cd 2.440 4.226 4.904
Au 0.000 -3.138 4.049
Au -2.717 1.569 4.049
Au -2.717 -1.569 5.759
Au 2.717 1.569 4.049
Au 2.717 -1.569 5.759
Au 0.000 3.138 5.759
```


Crystalline Rb2CdAu at its relaxed geometry. Source: Alexandria, functional GGA-PBE.

Computed properties:
* theoretical density: 4.108 g/cm³
* crystal system: trigonal
* formation enthalpy at 0 K: -69.2 meV per atom
* symmetry: R3m (160)

Structure (extended XYZ):
```
4
Lattice="2.452 1.415 9.324 -2.452 1.415 9.324 0.000 -2.831 9.324" Properties=species:S:1:pos:R:3 pbc="T T T"
Rb 0.000 0.000 0.000
Rb 0.000 0.000 5.321
Cd 0.000 0.000 21.266
Au 0.000 0.000 16.678
```


Crystalline Rb2CdAu3 at its relaxed geometry. Source: Alexandria, functional GGA-PBE.

Computed properties:
* theoretical density: 7.908 g/cm³
* crystal system: orthorhombic
* formation enthalpy at 0 K: -245.0 meV per atom
* ΔE to the lowest computed polymorph: 0.0 meV/atom
* symmetry: Pmma (51)

Structure (extended XYZ):
```
12
Lattice="5.640 0.000 0.000 0.000 7.059 0.000 0.000 0.000 9.222" Properties=species:S:1:pos:R:3 pbc="T T T"
Rb 1.410 0.000 1.172
Rb 1.410 3.529 3.372
Rb 4.230 0.000 8.050
Rb 4.230 3.529 5.849
Cd 1.410 3.529 8.460
Cd 4.230 3.529 0.762
Au 0.000 0.000 4.611
Au 1.410 1.454 6.640
Au 1.410 5.605 6.640
Au 2.820 0.000 4.611
Au 4.230 1.454 2.581
Au 4.230 5.605 2.581
```


Crystalline Rb11CdAu2 at its relaxed geometry. Source: Alexandria, functional GGA-PBE.

Computed properties:
* theoretical density: 2.298 g/cm³
* crystal system: orthorhombic
* formation enthalpy at 0 K: -49.8 meV per atom
* symmetry: Ibam (72)

Structure (extended XYZ):
```
28
Lattice="-6.750 8.519 9.087 6.750 -8.519 9.087 6.750 8.519 -9.087" Properties=species:S:1:pos:R:3 pbc="T T T"
Rb 0.000 0.000 0.000
Rb 8.231 3.409 -2.811
Rb 9.711 -0.961 2.308
Rb 8.231 -3.409 6.276
Rb 3.789 0.961 2.308
Rb 5.026 -4.753 9.087
Rb 5.026 4.753 0.000
Rb 3.789 -0.961 6.778
Rb 8.231 3.409 2.811
Rb 2.961 9.479 -2.308
Rb 1.481 5.110 2.811
Rb 0.000 0.000 9.087
Rb 5.269 3.409 6.276
Rb 3.789 -0.961 11.395
Rb -1.481 5.110 6.276
Rb 2.961 9.479 2.308
Rb 1.724 3.766 9.087
Rb 1.724 13.271 0.000
Rb 2.961 7.558 6.778
Rb -1.481 11.927 2.811
Rb -2.961 9.479 6.778
Rb -1.481 5.110 11.898
Cd 6.750 0.000 4.543
Cd 0.000 8.519 4.543
Au 1.928 2.988 0.000
Au 8.678 5.531 0.000
Au -1.928 2.988 9.087
Au 4.822 5.531 9.087
```


Crystalline Rb8CdAu4 at its relaxed geometry. Source: Alexandria, functional GGA-PBE.

Computed properties:
* theoretical density: 3.996 g/cm³
* crystal system: tetragonal
* formation enthalpy at 0 K: -139.8 meV per atom
* symmetry: I4/m (87)

Structure (extended XYZ):
```
13
Lattice="-7.899 7.899 2.637 7.899 -7.899 2.637 7.899 7.899 -2.637" Properties=species:S:1:pos:R:3 pbc="T T T"
Rb 10.622 0.949 0.000
Rb 0.949 5.176 0.000
Rb 9.793 5.350 0.000
Rb 5.350 6.006 0.000
Rb 2.549 1.893 2.637
Rb -1.893 2.549 2.637
Rb 6.950 2.723 2.637
Rb -2.723 6.950 2.637
Cd 0.000 0.000 0.000
Au 4.677 2.597 0.000
Au 5.302 -3.222 2.637
Au 2.597 11.122 0.000
Au 3.222 5.302 2.637
```


Crystalline Rb3Cd2Au7 at its relaxed geometry. Source: Alexandria, functional GGA-PBE.

Computed properties:
* theoretical density: 10.248 g/cm³
* crystal system: trigonal
* formation enthalpy at 0 K: -204.0 meV per atom
* symmetry: R-3m (166)

Structure (extended XYZ):
```
12
Lattice="3.047 1.759 9.369 -3.047 1.759 9.369 0.000 -3.519 9.369" Properties=species:S:1:pos:R:3 pbc="T T T"
Rb 0.000 0.000 0.000
Rb 0.000 0.000 3.991
Rb 0.000 0.000 24.117
Cd 0.000 0.000 9.303
Cd 0.000 0.000 18.805
Au -1.495 -0.863 11.630
Au 0.000 -1.727 16.477
Au -1.495 0.863 16.477
Au 0.000 0.000 14.054
Au 1.495 -0.863 11.630
Au 0.000 1.727 11.630
Au 1.495 0.863 16.477
```


Crystalline Rb2CdAu at its relaxed geometry. Source: Alexandria, functional GGA-PBE.

Computed properties:
* theoretical density: 4.894 g/cm³
* crystal system: tetragonal
* formation enthalpy at 0 K: -133.3 meV per atom
* symmetry: P4/mmm (123)

Structure (extended XYZ):
```
4
Lattice="4.274 0.000 0.000 0.000 4.274 0.000 0.000 0.000 8.922" Properties=species:S:1:pos:R:3 pbc="T T T"
Rb 0.000 0.000 1.971
Rb 0.000 0.000 6.950
Cd 2.137 2.137 4.461
Au 2.137 2.137 0.000
```